(1)
DFT (PBE) results for a relaxed structure of TaAlCl2.

excess energy over the best structure of this formula in the dataset = 440 meV/atom
uncorrected formation energy = -7.936 kcal/mol of atoms
DOS at the Fermi energy = 3.3 states/eV per cell

Cell: 7.5848 7.5848 7.5848 Å, 157.22 141.93 44.82°
Last column: nearest neighbours and their distance in Å.
Atoms (fractional coordinates):
Ta 0.0000 0.0000 0.0000  4 Cl 2.53
Al 0.5000 0.5000 0.0000  4 Ta 2.89, 2 Al 3.00, 4 Cl 3.21
Cl 0.1456 0.6456 0.5000  2 Ta 2.53
Cl 0.8544 0.3544 0.5000  2 Ta 2.53

(2)
DFT (PBE) results for a relaxed structure of TaAlCl2.

excess energy over the best structure of this formula in the dataset = 849 meV/atom
uncorrected formation energy = 1.504 kcal/mol of atoms
DOS at the Fermi energy = 5.9 states/eV per cell

Cell: 6.6318 6.6318 6.6318 Å, 99.83 99.83 131.20°
Last column: nearest neighbours and their distance in Å.
Atoms (fractional coordinates):
Ta 0.0000 0.0000 0.0000  4 Cl 2.45, 2 Al 2.74
Ta 0.7500 0.2500 0.5000  4 Cl 2.45, 2 Al 2.74
Al 0.2500 0.7500 0.5000  2 Ta 2.74
Al 0.5000 0.5000 0.0000  2 Ta 2.74
Cl 0.3750 0.2410 0.3660  2 Ta 2.45
Cl 0.7590 0.1250 0.1340  2 Ta 2.45
Cl 0.8750 0.0090 0.6340  2 Ta 2.45
Cl 0.9910 0.6250 0.8660  2 Ta 2.45

(3)
DFT (PBE) results for a relaxed structure of Ta3AlCl.

excess energy over the best structure of this formula in the dataset = 0 meV/atom
uncorrected formation energy = 19.109 kcal/mol of atoms
DOS at the Fermi energy = 7.8 states/eV per cell

Cell: 4.5243 4.5243 4.5243 Å, 90.00 90.00 90.00°
Last column: nearest neighbours and their distance in Å.
Atoms (fractional coordinates):
Ta 0.0000 0.0000 0.5000  2 Cl 2.26
Ta 0.0000 0.5000 0.0000  2 Cl 2.26
Ta 0.5000 0.0000 0.0000  2 Cl 2.26
Al 0.5000 0.5000 0.5000  12 Ta 3.20
Cl 0.0000 0.0000 0.0000  6 Ta 2.26

(4)
DFT (PBE) results for a relaxed structure of TaAlCl2.

excess energy over the best structure of this formula in the dataset = 803 meV/atom
uncorrected formation energy = 0.431 kcal/mol of atoms
DOS at the Fermi energy = 2.3 states/eV per cell

Cell: 3.0106 3.0106 11.1399 Å, 90.00 90.00 90.00°
Last column: nearest neighbours and their distance in Å.
Atoms (fractional coordinates):
Ta 0.0000 0.0000 0.0000  8 Cl 2.63
Al 0.0000 0.0000 0.5000  4 Al 3.01
Cl 0.5000 0.5000 0.1383  4 Ta 2.63
Cl 0.5000 0.5000 0.8617  4 Ta 2.63

(5)
DFT (PBE) results for a relaxed structure of TaAlCl3.

excess energy over the best structure of this formula in the dataset = 0 meV/atom
uncorrected formation energy = -4.178 kcal/mol of atoms
DOS at the Fermi energy = 4.6 states/eV per cell

Cell: 4.9207 4.9207 4.9207 Å, 90.00 90.00 90.00°
Last column: nearest neighbours and their distance in Å.
Atoms (fractional coordinates):
Ta 0.0000 0.0000 0.0000  6 Cl 2.46
Al 0.5000 0.5000 0.5000  12 Cl 3.48
Cl 0.0000 0.0000 0.5000  2 Ta 2.46
Cl 0.0000 0.5000 0.0000  2 Ta 2.46
Cl 0.5000 0.0000 0.0000  2 Ta 2.46

(6)
DFT (PBE) results for a relaxed structure of TaAl2Cl.

excess energy over the best structure of this formula in the dataset = 886 meV/atom
uncorrected formation energy = 14.294 kcal/mol of atoms
DOS at the Fermi energy = 2.0 states/eV per cell

Cell: 4.7286 4.7286 4.7286 Å, 60.00 60.00 60.00°
Last column: nearest neighbours and their distance in Å.
Atoms (fractional coordinates):
Ta 0.0000 0.0000 0.0000  8 Al 2.90
Al 0.2500 0.2500 0.2500  4 Ta 2.90, 4 Cl 2.90
Al 0.7500 0.7500 0.7500  4 Ta 2.90, 4 Cl 2.90
Cl 0.5000 0.5000 0.5000  8 Al 2.90

(7)
DFT (PBE) results for a relaxed structure of TaAlCl.

excess energy over the best structure of this formula in the dataset = 355 meV/atom
uncorrected formation energy = 2.632 kcal/mol of atoms
DOS at the Fermi energy = 2.4 states/eV per cell

Cell: 4.5383 4.5383 2.9088 Å, 90.00 90.00 120.00°
Last column: nearest neighbours and their distance in Å.
Atoms (fractional coordinates):
Ta 0.0000 0.0000 0.0000  3 Cl 2.62, 2 Ta 2.91
Al 0.3333 0.6667 0.5000  2 Al 2.91, 6 Ta 3.00, 6 Cl 3.00
Cl 0.6667 0.3333 0.0000  3 Ta 2.62, 2 Cl 2.91

(8)
DFT (PBE) results for a relaxed structure of TaAl2Cl.

excess energy over the best structure of this formula in the dataset = 772 meV/atom
uncorrected formation energy = 11.677 kcal/mol of atoms
DOS at the Fermi energy = 2.5 states/eV per cell

Cell: 4.6470 4.6470 4.6470 Å, 60.00 60.00 60.00°
Last column: nearest neighbours and their distance in Å.
Atoms (fractional coordinates):
Ta 0.0000 0.0000 0.0000  4 Al 2.85, 4 Cl 2.85
Al 0.5000 0.5000 0.5000  4 Al 2.85, 4 Cl 2.85
Al 0.7500 0.7500 0.7500  4 Al 2.85, 4 Ta 2.85
Cl 0.2500 0.2500 0.2500  4 Al 2.85, 4 Ta 2.85

Record-wise volume values, in Å³ per cell: 104, 200, 93, 101, 119, 75, 52, 71
Record-wise electronic total energy values, in Ry/atom: -0.3797, -0.3496, -0.5439, -0.3530, -0.3240, -0.3437, -0.4189, -0.3520